Below is crystalline MnAsW2 at its relaxed geometry, with properties calculated at the PBE level.

Properties
Calculated total energy   -9.57 eV per atom
Space-group type   R3m, No. 160
Magnetization   0.570 μB/f.u.

abc: 8.6012 8.6012 8.6012
angles: 19.15 19.15 19.15
Fractional coordinates of all 4 atoms:
As (0.4926, 0.4926, 0.4926)
W (0.2480, 0.2480, 0.2480)
Mn (0.7517, 0.7517, 0.7517)
W (0.0077, 0.0077, 0.0077)